(1)
# Cs4Nd3PuTe8 | Alexandria | GGA-PBE | relaxed
data_Cs4Nd3PuTe8
_space_group_name_H-M_alt 'P 1'
_space_group_IT_number 1
_cell_length_a 9.354
_cell_length_b 10.434
_cell_length_c 9.354
_cell_angle_alpha 116.63
_cell_angle_beta 120.00
_cell_angle_gamma 90.00
loop_
_space_group_symop_operation_xyz
'x,y,z'
loop_
_atom_site_label
_atom_site_fract_x
_atom_site_fract_y
_atom_site_fract_z
Cs1 0.500 0.000 0.000
Cs2 0.500 0.000 0.500
Cs3 0.000 0.000 0.000
Cs4 0.000 0.000 0.500
Nd1 0.500 0.500 0.000
Nd2 0.500 0.500 0.500
Nd3 0.000 0.500 0.500
Pu1 0.000 0.500 0.000
Te1 0.230 0.693 0.963
Te2 0.230 0.693 0.459
Te3 0.268 0.304 0.536
Te4 0.733 0.693 0.963
Te5 0.267 0.307 0.037
Te6 0.732 0.696 0.464
Te7 0.770 0.307 0.541
Te8 0.770 0.307 0.037
# - uncorrected formation energy (eV per atom) = -1.33
# - V (A^3/atom) = 42.283



(2)
# Cs2RbNd | Alexandria | GGA-PBE | relaxed
data_Cs2RbNd
_space_group_name_H-M_alt 'P 1'
_space_group_IT_number 1
_cell_length_a 4.219
_cell_length_b 4.219
_cell_length_c 17.043
_cell_angle_alpha 82.89
_cell_angle_beta 82.89
_cell_angle_gamma 60.00
loop_
_space_group_symop_operation_xyz
'x,y,z'
loop_
_atom_site_label
_atom_site_fract_x
_atom_site_fract_y
_atom_site_fract_z
Cs1 0.076 0.076 0.771
Cs2 0.924 0.924 0.229
Nd1 0.000 0.000 0.000
Rb1 0.500 0.500 0.500
# - formation enthalpy at 0 K (eV per atom) = 0.488
# - V (A^3/atom) = 64.993



(3)
# Cs5NdS5 | Alexandria | GGA-PBE | relaxed
data_Cs5NdS5
_space_group_name_H-M_alt 'P 1'
_space_group_IT_number 1
_cell_length_a 6.583
_cell_length_b 8.672
_cell_length_c 9.284
_cell_angle_alpha 107.35
_cell_angle_beta 90.00
_cell_angle_gamma 112.31
loop_
_space_group_symop_operation_xyz
'x,y,z'
loop_
_atom_site_label
_atom_site_fract_x
_atom_site_fract_y
_atom_site_fract_z
Cs1 0.694 0.389 0.310
Cs2 0.673 0.345 0.840
Cs3 0.000 0.000 0.500
Cs4 0.327 0.655 0.160
Cs5 0.306 0.611 0.690
Nd1 0.000 0.000 0.000
S1 0.868 0.736 0.137
S2 0.864 0.728 0.714
S3 0.500 0.000 0.000
S4 0.136 0.272 0.286
S5 0.132 0.264 0.863
# - uncorrected formation energy (eV per atom) = -1.04
# - V (A^3/atom) = 42.196



(4)
# CsNd6S8 | Alexandria | GGA-PBE | relaxed
data_CsNd6S8
_space_group_name_H-M_alt 'P 1'
_space_group_IT_number 1
_cell_length_a 4.135
_cell_length_b 11.103
_cell_length_c 11.103
_cell_angle_alpha 120.00
_cell_angle_beta 90.00
_cell_angle_gamma 90.00
loop_
_space_group_symop_operation_xyz
'x,y,z'
loop_
_atom_site_label
_atom_site_fract_x
_atom_site_fract_y
_atom_site_fract_z
Cs1 0.500 0.000 0.000
Nd1 0.752 0.523 0.663
Nd2 0.752 0.337 0.860
Nd3 0.752 0.140 0.477
Nd4 0.248 0.477 0.337
Nd5 0.248 0.663 0.140
Nd6 0.248 0.860 0.523
S1 0.747 0.634 0.953
S2 0.747 0.047 0.681
S3 0.747 0.319 0.366
S4 0.253 0.366 0.047
S5 0.253 0.953 0.319
S6 0.253 0.681 0.634
S7 0.748 0.667 0.333
S8 0.252 0.333 0.667
# - uncorrected formation energy (eV per atom) = -1.87
# - V (A^3/atom) = 29.430



(5)
# CsNd4S6 | Alexandria | GGA-PBE | relaxed
data_CsNd4S6
_space_group_name_H-M_alt 'P 1'
_space_group_IT_number 1
_cell_length_a 7.475
_cell_length_b 7.475
_cell_length_c 7.475
_cell_angle_alpha 96.70
_cell_angle_beta 116.21
_cell_angle_gamma 116.21
loop_
_space_group_symop_operation_xyz
'x,y,z'
loop_
_atom_site_label
_atom_site_fract_x
_atom_site_fract_y
_atom_site_fract_z
Cs1 0.000 0.000 0.000
Nd1 0.000 0.199 0.586
Nd2 0.614 0.414 0.414
Nd3 0.000 0.586 0.199
Nd4 0.386 0.801 0.801
S1 0.000 0.829 0.531
S2 0.000 0.531 0.829
S3 0.703 0.171 0.171
S4 0.500 0.000 0.500
S5 0.297 0.469 0.469
S6 0.500 0.500 0.000
# - uncorrected formation energy (eV per atom) = -1.63
# - excess energy over the best structure of this formula in the dataset (meV per atom) = 282.4
# - V (A^3/atom) = 28.182



(6)
# Cs6NdS4 | Alexandria | GGA-PBE | relaxed
data_Cs6NdS4
_space_group_name_H-M_alt 'P 1'
_space_group_IT_number 1
_cell_length_a 8.549
_cell_length_b 11.485
_cell_length_c 11.485
_cell_angle_alpha 120.00
_cell_angle_beta 90.00
_cell_angle_gamma 90.00
loop_
_space_group_symop_operation_xyz
'x,y,z'
loop_
_atom_site_label
_atom_site_fract_x
_atom_site_fract_y
_atom_site_fract_z
Cs1 0.457 0.735 0.867
Cs2 0.457 0.133 0.265
Cs3 0.457 0.133 0.867
Cs4 0.957 0.265 0.133
Cs5 0.957 0.867 0.735
Cs6 0.957 0.867 0.133
Cs7 0.643 0.930 0.465
Cs8 0.643 0.535 0.070
Cs9 0.643 0.535 0.465
Cs10 0.143 0.070 0.535
Cs11 0.143 0.465 0.930
Cs12 0.143 0.465 0.535
Nd1 0.736 0.333 0.667
Nd2 0.236 0.667 0.333
S1 0.419 0.333 0.667
S2 0.919 0.667 0.333
S3 0.846 0.589 0.795
S4 0.846 0.205 0.411
S5 0.846 0.205 0.795
S6 0.346 0.411 0.205
S7 0.346 0.795 0.589
S8 0.346 0.795 0.205
# - uncorrected formation energy (eV per atom) = -1.19
# - V (A^3/atom) = 44.386



(7)
# Cs2NdS10 | Alexandria | GGA-PBE | relaxed
data_Cs2NdS10
_space_group_name_H-M_alt 'P 1'
_space_group_IT_number 1
_cell_length_a 5.123
_cell_length_b 6.678
_cell_length_c 25.781
_cell_angle_alpha 90.00
_cell_angle_beta 90.00
_cell_angle_gamma 90.00
loop_
_space_group_symop_operation_xyz
'x,y,z'
loop_
_atom_site_label
_atom_site_fract_x
_atom_site_fract_y
_atom_site_fract_z
Cs1 0.500 0.471 0.866
Cs2 0.500 0.529 0.134
Cs3 0.500 0.971 0.634
Cs4 0.500 0.029 0.366
Nd1 0.000 0.500 0.500
Nd2 0.000 0.000 0.000
S1 0.000 0.093 0.469
S2 0.000 0.907 0.531
S3 0.000 0.593 0.031
S4 0.000 0.407 0.969
S5 0.000 0.263 0.715
S6 0.000 0.737 0.285
S7 0.301 0.030 0.093
S8 0.301 0.970 0.907
S9 0.699 0.530 0.407
S10 0.699 0.470 0.593
S11 0.699 0.970 0.907
S12 0.699 0.030 0.093
S13 0.301 0.470 0.593
S14 0.301 0.530 0.407
S15 0.000 0.836 0.214
S16 0.000 0.164 0.786
S17 0.000 0.336 0.286
S18 0.000 0.664 0.714
S19 0.000 0.237 0.215
S20 0.000 0.763 0.785
# - uncorrected formation energy (eV per atom) = -0.51
# - V (A^3/atom) = 33.924



(8)
# CsNdS14 | Alexandria | GGA-PBE | relaxed
data_CsNdS14
_space_group_name_H-M_alt 'P 1'
_space_group_IT_number 1
_cell_length_a 11.303
_cell_length_b 11.303
_cell_length_c 11.303
_cell_angle_alpha 126.54
_cell_angle_beta 103.80
_cell_angle_gamma 99.56
loop_
_space_group_symop_operation_xyz
'x,y,z'
loop_
_atom_site_label
_atom_site_fract_x
_atom_site_fract_y
_atom_site_fract_z
Cs1 0.673 0.250 0.423
Cs2 0.327 0.750 0.577
Nd1 0.000 0.500 0.000
Nd2 0.000 0.000 0.500
S1 0.691 0.819 0.872
S2 0.309 0.181 0.128
S3 0.447 0.319 0.128
S4 0.553 0.681 0.872
S5 0.024 0.357 0.668
S6 0.976 0.643 0.332
S7 0.189 0.857 0.332
S8 0.811 0.143 0.668
S9 0.182 0.368 0.814
S10 0.818 0.632 0.186
S11 0.055 0.868 0.186
S12 0.945 0.132 0.814
S13 0.688 0.096 0.043
S14 0.312 0.355 0.409
S15 0.553 0.596 0.409
S16 0.447 0.855 0.043
S17 0.312 0.904 0.957
S18 0.688 0.645 0.591
S19 0.447 0.404 0.591
S20 0.553 0.145 0.957
S21 0.287 0.728 0.209
S22 0.713 0.922 0.441
S23 0.019 0.228 0.441
S24 0.981 0.422 0.209
S25 0.713 0.272 0.791
S26 0.287 0.078 0.559
S27 0.981 0.772 0.559
S28 0.019 0.578 0.791
# - uncorrected formation energy (eV per atom) = -0.13
# - V (A^3/atom) = 32.347